# FeTeO2 PBE with a Hubbard U optimized geometry
data_FeTeO2
_cell_length_a 5.4062
_cell_length_b 5.4062
_cell_length_c 9.0010
_cell_angle_alpha 90.00
_cell_angle_beta 90.00
_cell_angle_gamma 90.00
_space_group_name_H-M_alt 'I -4 2 d'
_space_group_IT_number 122
_space_group_name_Hall 'I -4 2bw'
loop_
_atom_site_label
_atom_site_fract_x
_atom_site_fract_y
_atom_site_fract_z
_atom_site_occupancy
Fe1 0.0000 0.0000 0.0000 1
Te1 0.0000 0.0000 0.5000 1
O1 0.1347 0.2500 0.1250 1
# Density of states at the Fermi level: 6.99 states/eV/cell
# E_tot: -83.77 eV for the cell shown
# Calculated density: 5.44 g cm⁻³